Computed, not measured: an optimized crystal structure of ScTcMo2 at the PBE-GGA level of DFT.

Cell lengths 4.497, 4.497, 4.497 Å; angles 60.00, 60.00, 60.00 degrees
Sites, in units of the cell vectors:
Sc: 0.500 0.500 0.500
Tc: 0.250 0.250 0.250
Mo: 0.750 0.750 0.750
Mo: 0.000 0.000 0.000

Properties
Calculated formation energy = -23.6 meV/atom
Electronic total energy = -9.620 eV per atom
Mass density = 8.65 Mg/m³

=====

Computed, not measured: an optimized crystal structure of Dy2O3 at the PBE-GGA level of DFT.

Cell lengths 5.909, 5.909, 3.036 Å; angles 90.00, 90.00, 120.00 degrees
Sites, in units of the cell vectors:
O: 0.000 0.492 0.500
O: 0.492 0.000 0.500
O: 0.508 0.508 0.500
Dy: 0.667 0.333 0.000
Dy: 0.333 0.667 0.000

Properties
Electronic total energy = -8.195 eV per atom
Mass density = 6.75 Mg/m³

=====

Computed, not measured: an optimized crystal structure of LaGdO3 at the PBE-GGA level of DFT.

Cell lengths 6.011, 6.011, 6.011 Å; angles 60.97, 60.97, 60.97 degrees
Sites, in units of the cell vectors:
La: 0.250 0.250 0.250
La: 0.750 0.750 0.750
O: 0.626 0.874 0.250
O: 0.126 0.750 0.374
O: 0.374 0.126 0.750
O: 0.874 0.250 0.626
O: 0.250 0.626 0.874
O: 0.750 0.374 0.126
Gd: 0.000 0.000 0.000
Gd: 0.500 0.500 0.500

Properties
Electronic total energy = -8.271 eV per atom
Mass density = 7.28 Mg/m³

=====

Computed, not measured: an optimized crystal structure of DyTmIn4Ni2 at the PBE-GGA level of DFT.

Cell lengths 7.411, 5.639, 5.639 Å; angles 44.94, 90.00, 90.00 degrees
Sites, in units of the cell vectors:
Ni: 0.000 0.715 0.715
Ni: 0.500 0.286 0.286
In: 0.301 0.857 0.857
In: 0.699 0.857 0.857
In: 0.201 0.143 0.143
In: 0.799 0.143 0.143
Tm: 0.500 0.568 0.568
Dy: 0.000 0.432 0.432

Properties
Electronic total energy = -4.329 eV per atom
Mass density = 9.06 Mg/m³

=====

Computed, not measured: an optimized crystal structure of Pm5Ge3 at the PBE-GGA level of DFT.

Cell lengths 8.777, 8.777, 6.660 Å; angles 90.00, 90.00, 120.00 degrees
Sites, in units of the cell vectors:
Ge: 0.393 0.000 0.250
Ge: 0.000 0.607 0.750
Ge: 0.607 0.607 0.250
Ge: 0.393 0.393 0.750
Ge: 0.000 0.393 0.250
Ge: 0.607 0.000 0.750
Pm: 0.667 0.333 0.000
Pm: 0.245 0.245 0.250
Pm: 0.333 0.667 0.000
Pm: 0.333 0.667 0.500
Pm: 0.755 0.000 0.250
Pm: 0.000 0.245 0.750
Pm: 0.667 0.333 0.500
Pm: 0.245 0.000 0.750
Pm: 0.000 0.755 0.250
Pm: 0.755 0.755 0.750

Properties
Electronic total energy = -5.430 eV per atom
Mass density = 7.05 Mg/m³

=====

Computed, not measured: an optimized crystal structure of BeNbNiAg at the PBE-GGA level of DFT.

Cell lengths 4.312, 4.312, 4.312 Å; angles 60.00, 60.00, 60.00 degrees
Sites, in units of the cell vectors:
Be: 0.750 0.750 0.750
Ag: 0.000 0.000 0.000
Nb: 0.250 0.250 0.250
Ni: 0.500 0.500 0.500

Properties
Electronic total energy = -5.344 eV per atom
Excess energy over the best structure of this formula in the dataset = 149.5 meV/atom
Mass density = 7.86 Mg/m³

=====

Computed, not measured: an optimized crystal structure of LiTeAuO at the PBE-GGA level of DFT.

Cell lengths 4.098, 4.098, 9.150 Å; angles 90.00, 90.00, 90.00 degrees
Sites, in units of the cell vectors:
Li: 0.250 0.750 0.500
Li: 0.750 0.250 0.500
O: 0.250 0.750 0.000
O: 0.750 0.250 0.000
Te: 0.750 0.750 0.299
Te: 0.250 0.250 0.701
Au: 0.750 0.750 0.914
Au: 0.250 0.250 0.086

Properties
Electronic total energy = -3.290 eV per atom
Excess energy over the best structure of this formula in the dataset = 548.5 meV/atom
Mass density = 7.51 Mg/m³

=====

Computed, not measured: an optimized crystal structure of IrAuNO at the PBE-GGA level of DFT.

Cell lengths 4.208, 4.208, 5.520 Å; angles 90.09, 90.09, 89.71 degrees
Sites, in units of the cell vectors:
Au: 0.750 0.250 0.500
Au: 0.250 0.750 0.500
O: 0.750 0.250 0.000
O: 0.250 0.750 0.000
N: 0.750 0.750 0.273
N: 0.250 0.250 0.727
Ir: 0.250 0.250 0.066
Ir: 0.750 0.750 0.934

Properties
Electronic total energy = -5.395 eV per atom
Excess energy over the best structure of this formula in the dataset = 587.2 meV/atom
Mass density = 14.24 Mg/m³

=====

Computed, not measured: an optimized crystal structure of Li2CdSn2 at the PBE-GGA level of DFT.

Cell lengths 4.133, 4.133, 7.133 Å; angles 106.84, 106.84, 90.00 degrees
Sites, in units of the cell vectors:
Sn: 0.606 0.606 0.212
Sn: 0.394 0.394 0.788
Li: 0.250 0.750 0.500
Li: 0.750 0.250 0.500
Cd: 0.000 0.000 0.000

Properties
Electronic total energy = -2.631 eV per atom
Mass density = 5.43 Mg/m³

=====

Computed, not measured: an optimized crystal structure of HoTm4Hg5 at the PBE-GGA level of DFT.

Cell lengths 3.666, 3.666, 18.370 Å; angles 90.00, 90.00, 90.00 degrees
Sites, in units of the cell vectors:
Tm: 0.000 0.000 0.799
Tm: 0.000 0.000 0.201
Tm: 0.000 0.000 0.401
Tm: 0.000 0.000 0.599
Hg: 0.500 0.500 0.301
Hg: 0.500 0.500 0.102
Hg: 0.500 0.500 0.500
Hg: 0.500 0.500 0.699
Hg: 0.500 0.500 0.898
Ho: 0.000 0.000 0.000

Properties
Calculated formation energy = -479.7 meV/atom
Electronic total energy = -2.876 eV per atom
Mass density = 12.40 Mg/m³

=====

Computed, not measured: an optimized crystal structure of DySbN2O at the PBE-GGA level of DFT.

Cell lengths 5.617, 5.716, 9.622 Å; angles 73.55, 73.91, 60.82 degrees
Sites, in units of the cell vectors:
N: 0.474 0.283 0.379
N: 0.731 0.145 0.659
N: 0.869 0.472 0.357
N: 0.217 0.652 0.131
N: 0.581 0.752 0.588
N: 0.162 0.512 0.650
N: 0.919 0.730 0.913
N: 0.623 0.015 0.142
Dy: 0.647 0.599 0.135
Dy: 0.355 0.351 0.874
Dy: 0.876 0.873 0.357
Dy: 0.168 0.134 0.598
O: 0.255 0.898 0.386
O: 0.309 0.993 0.843
O: 0.733 0.388 0.894
O: 0.059 0.209 0.104
Sb: 0.523 0.483 0.510
Sb: 0.254 0.269 0.246
Sb: 0.771 0.756 0.737
Sb: 0.977 0.987 0.995

Properties
Electronic total energy = -6.999 eV per atom
Mass density = 8.55 Mg/m³

=====

Computed, not measured: an optimized crystal structure of RbTbAgSe3 at the PBE-GGA level of DFT.

Cell lengths 8.058, 8.058, 10.820 Å; angles 90.00, 90.00, 150.24 degrees
Sites, in units of the cell vectors:
Rb: 0.250 0.750 0.750
Rb: 0.750 0.250 0.250
Ag: 0.464 0.536 0.250
Ag: 0.536 0.464 0.750
Se: 0.626 0.374 0.547
Se: 0.374 0.626 0.453
Se: 0.930 0.070 0.750
Se: 0.070 0.930 0.250
Se: 0.626 0.374 0.953
Se: 0.374 0.626 0.047
Tb: 0.000 0.000 0.000
Tb: 0.000 0.000 0.500

Properties
Electronic total energy = -4.270 eV per atom
Mass density = 5.61 Mg/m³

=====

Computed, not measured: an optimized crystal structure of DyNbAg2S4 at the PBE-GGA level of DFT.

Cell lengths 6.359, 6.359, 4.005 Å; angles 90.00, 90.00, 90.39 degrees
Last column: magnetic moment on the atom in μB.
Sites, in units of the cell vectors:
S: 0.186 0.814 0.718  -0.03
S: 0.291 0.291 0.284  -0.01
S: 0.814 0.186 0.718  -0.02
S: 0.709 0.709 0.284  0.00
Ag: 0.000 0.500 0.000  0.01
Ag: 0.500 0.000 0.000  0.02
Nb: 0.000 0.000 0.224  1.54
Dy: 0.500 0.500 0.774  0.09

Properties
Electronic total energy = -5.438 eV per atom
Mass density = 6.15 Mg/m³

=====

Computed, not measured: an optimized crystal structure of NdBNO at the PBE-GGA level of DFT.

Cell lengths 3.646, 3.646, 7.419 Å; angles 90.00, 90.00, 90.00 degrees
Sites, in units of the cell vectors:
Nd: 0.250 0.250 0.179
Nd: 0.750 0.750 0.821
B: 0.750 0.250 0.500
B: 0.250 0.750 0.500
N: 0.250 0.250 0.519
N: 0.750 0.750 0.481
O: 0.250 0.750 0.000
O: 0.750 0.250 0.000

Properties
Electronic total energy = -7.085 eV per atom
Excess energy over the best structure of this formula in the dataset = 661.2 meV/atom
Mass density = 6.23 Mg/m³

=====

Computed, not measured: an optimized crystal structure of ZrGaNO at the PBE-GGA level of DFT.

Cell lengths 6.644, 7.039, 4.604 Å; angles 90.00, 90.00, 90.00 degrees
Sites, in units of the cell vectors:
O: 0.914 0.568 0.555
O: 0.586 0.568 0.055
O: 0.086 0.432 0.055
O: 0.414 0.432 0.555
Ga: 0.155 0.685 0.047
Ga: 0.845 0.315 0.547
Ga: 0.345 0.685 0.547
Ga: 0.655 0.315 0.047
Zr: 0.912 0.841 0.550
Zr: 0.412 0.159 0.550
Zr: 0.088 0.159 0.050
Zr: 0.588 0.841 0.050
N: 0.089 0.124 0.550
N: 0.411 0.124 0.050
N: 0.589 0.876 0.550
N: 0.911 0.876 0.050

Properties
Electronic total energy = -7.621 eV per atom
Excess energy over the best structure of this formula in the dataset = 0.0 meV/atom
Mass density = 5.89 Mg/m³

=====

Computed, not measured: an optimized crystal structure of Sm3CdPt8 at the PBE-GGA level of DFT.

Cell lengths 9.467, 9.467, 9.467 Å; angles 33.51, 33.51, 33.51 degrees
Sites, in units of the cell vectors:
Sm: 0.007 0.007 0.007
Sm: 0.622 0.622 0.622
Sm: 0.494 0.494 0.494
Pt: 0.059 0.563 0.563
Pt: 0.563 0.059 0.563
Pt: 0.063 0.563 0.063
Pt: 0.312 0.312 0.312
Pt: 0.812 0.812 0.812
Pt: 0.563 0.563 0.059
Pt: 0.563 0.063 0.063
Pt: 0.063 0.063 0.563
Cd: 0.129 0.129 0.129

Properties
Calculated formation energy = -957.4 meV/atom
Electronic total energy = -6.247 eV per atom
Mass density = 15.31 Mg/m³

=====

Computed, not measured: an optimized crystal structure of ZrSc2Al3Cu2Ni at the PBE-GGA level of DFT.

Cell lengths 3.775, 6.732, 6.732 Å; angles 120.47, 90.00, 90.00 degrees
Sites, in units of the cell vectors:
Cu: 0.500 0.668 0.332
Cu: 0.500 0.332 0.668
Sc: 0.000 0.001 0.591
Sc: 0.000 0.591 0.001
Al: 0.500 0.001 0.242
Al: 0.500 0.756 0.756
Al: 0.500 0.242 0.001
Zr: 0.000 0.411 0.411
Ni: 0.000 0.998 0.998

Properties
Electronic total energy = -5.570 eV per atom
Mass density = 5.04 Mg/m³

=====

Computed, not measured: an optimized crystal structure of Ac2SiPd6 at the PBE-GGA level of DFT.

Cell lengths 5.932, 5.932, 5.866 Å; angles 90.01, 90.01, 59.99 degrees
Sites, in units of the cell vectors:
Pd: 0.336 0.831 0.300
Pd: 0.831 0.336 0.300
Pd: 0.169 0.169 0.700
Pd: 0.664 0.169 0.700
Pd: 0.169 0.664 0.700
Pd: 0.831 0.831 0.300
Ac: 0.667 0.667 0.804
Ac: 0.333 0.333 0.196
Si: 0.000 0.000 0.000

Properties
Electronic total energy = -5.767 eV per atom
Mass density = 10.41 Mg/m³

=====

Computed, not measured: an optimized crystal structure of HoAgGeTe2Se at the PBE-GGA level of DFT.

Cell lengths 7.474, 7.474, 10.441 Å; angles 90.00, 90.00, 147.39 degrees
Sites, in units of the cell vectors:
Te: 0.155 0.845 0.060
Te: 0.155 0.845 0.440
Te: 0.845 0.155 0.560
Te: 0.845 0.155 0.940
Ge: 0.744 0.256 0.250
Ge: 0.256 0.744 0.750
Ag: 0.981 0.019 0.750
Ag: 0.019 0.981 0.250
Ho: 0.500 0.500 0.000
Ho: 0.500 0.500 0.500
Se: 0.596 0.404 0.750
Se: 0.404 0.596 0.250

Properties
Electronic total energy = -4.216 eV per atom
Mass density = 7.18 Mg/m³

=====

Computed, not measured: an optimized crystal structure of NbCdSb at the PBE-GGA level of DFT.

Cell lengths 4.727, 4.727, 4.727 Å; angles 60.00, 60.00, 60.00 degrees
Last column: magnetic moment on the atom in μB.
Sites, in units of the cell vectors:
Nb: 0.000 0.000 0.000  1.52
Cd: 0.250 0.250 0.250  0.02
Sb: 0.750 0.750 0.750  -0.04

Properties
Electronic total energy = -4.636 eV per atom
Excess energy over the best structure of this formula in the dataset = 0.0 meV/atom
Mass density = 7.27 Mg/m³

=====

Computed, not measured: an optimized crystal structure of Re3AuN5 at the PBE-GGA level of DFT.

Cell lengths 5.445, 5.445, 4.100 Å; angles 90.00, 90.00, 120.00 degrees
Last column: magnetic moment on the atom in μB.
Sites, in units of the cell vectors:
Re: 0.500 0.500 0.500  0.77
Re: 0.500 0.000 0.500  0.74
Re: 0.000 0.500 0.500  0.59
N: 0.333 0.667 0.164  -0.01
N: 0.333 0.667 0.836  0.00
N: 0.667 0.333 0.164  0.00
N: 0.667 0.333 0.836  -0.01
N: 0.000 0.000 0.500  -0.03
Au: 0.000 0.000 0.000  0.09

Properties
Electronic total energy = -8.143 eV per atom
Mass density = 13.02 Mg/m³

=====

Computed, not measured: an optimized crystal structure of Pr2InGaBr2 at the PBE-GGA level of DFT.

Cell lengths 4.424, 4.424, 11.840 Å; angles 90.00, 90.00, 120.00 degrees
Sites, in units of the cell vectors:
Br: 0.333 0.667 0.333
Br: 0.000 0.000 0.663
In: 0.333 0.667 0.971
Ga: 0.000 0.000 0.040
Pr: 0.667 0.333 0.810
Pr: 0.667 0.333 0.184

Properties
Electronic total energy = -4.277 eV per atom
Mass density = 5.18 Mg/m³

=====

Computed, not measured: an optimized crystal structure of LaCoGe2Au at the PBE-GGA level of DFT.

Cell lengths 6.062, 6.062, 6.062 Å; angles 138.83, 138.83, 59.64 degrees
Last column: magnetic moment on the atom in μB.
Sites, in units of the cell vectors:
La: 0.000 0.000 0.000  0.02
Ge: 0.623 0.623 0.000  0.01
Ge: 0.377 0.377 0.000  0.01
Au: 0.250 0.750 0.500  0.06
Co: 0.750 0.250 0.500  1.31

Properties
Electronic total energy = -5.416 eV per atom
Mass density = 9.38 Mg/m³

=====

Computed, not measured: an optimized crystal structure of BaPmHo at the PBE-GGA level of DFT.

Cell lengths 5.834, 5.834, 5.834 Å; angles 60.00, 60.00, 60.00 degrees
Sites, in units of the cell vectors:
Ho: 0.000 0.000 0.000
Ba: 0.250 0.250 0.250
Pm: 0.750 0.750 0.750

Properties
Electronic total energy = -2.953 eV per atom
Excess energy over the best structure of this formula in the dataset = 0.0 meV/atom
Mass density = 5.29 Mg/m³